A plane-wave DFT calculation with PBE-GGA was carried out for crystalline SrRu2 at its relaxed geometry.

Cell lengths 7.672, 7.672, 7.672 Å; angles 146.51, 146.51, 48.09 degrees
Fractional positions:
Sr (0.250, 0.750, 0.500)
Sr (0.500, 0.500, 0.000)
Ru (0.665, 0.165, 0.500)
Ru (0.085, 0.085, 0.000)
Ru (0.835, 0.335, 0.500)
Ru (0.915, 0.915, 0.000)

* space group: I4_1/amd, No. 141
* calculated formation energy: 403 meV/atom

---

A plane-wave DFT calculation with PBE-GGA was carried out for crystalline SrRu2 at its relaxed geometry.

Cell lengths 3.032, 3.032, 7.179 Å; angles 90.00, 90.00, 120.00 degrees
Fractional positions:
Ru (0.667, 0.333, 0.632)
Ru (0.333, 0.667, 0.368)
Sr (0.000, 0.000, 0.000)

* space group: P-3m1, No. 164
* calculated formation energy: 984 meV/atom

---

A plane-wave DFT calculation with PBE-GGA was carried out for crystalline SrRu2 at its relaxed geometry.

Cell lengths 6.105, 6.105, 6.105 Å; angles 152.20, 143.87, 46.19 degrees
Fractional positions:
Sr (0.000, 0.500, 0.500)
Ru (0.712, 0.212, 0.500)
Ru (0.288, 0.788, 0.500)

* space group: Immm, No. 71
* calculated formation energy: 408 meV/atom

---

A plane-wave DFT calculation with PBE-GGA was carried out for crystalline Sr3Ru at its relaxed geometry.

Cell lengths 5.848, 5.848, 5.848 Å; angles 90.00, 90.00, 90.00 degrees
Fractional positions:
Ru (0.000, 0.000, 0.000)
Sr (0.500, 0.000, 0.000)
Sr (0.000, 0.500, 0.000)
Sr (0.000, 0.000, 0.500)

* space group: Pm-3m, No. 221
* calculated formation energy: 407 meV/atom

---

A plane-wave DFT calculation with PBE-GGA was carried out for crystalline Sr3Ru at its relaxed geometry.

Cell lengths 5.677, 5.677, 5.677 Å; angles 120.77, 120.77, 88.66 degrees
Fractional positions:
Ru (0.000, 0.000, 0.000)
Sr (0.250, 0.750, 0.500)
Sr (0.500, 0.500, 0.000)
Sr (0.750, 0.250, 0.500)

* space group: I4/mmm, No. 139
* calculated formation energy: 519 meV/atom

---

A plane-wave DFT calculation with PBE-GGA was carried out for crystalline SrRu2 at its relaxed geometry.

Cell lengths 4.120, 4.120, 4.963 Å; angles 90.00, 90.00, 120.00 degrees
Fractional positions:
Ru (0.667, 0.333, 0.500)
Ru (0.333, 0.667, 0.500)
Sr (0.000, 0.000, 0.000)

* space group: P6/mmm, No. 191
* calculated formation energy: 328 meV/atom

---

A plane-wave DFT calculation with PBE-GGA was carried out for crystalline Sr2Ru at its relaxed geometry.

Cell lengths 10.166, 10.166, 5.482 Å; angles 90.00, 90.00, 159.48 degrees
Fractional positions:
Sr (0.440, 0.560, 0.250)
Sr (0.560, 0.440, 0.750)
Sr (0.681, 0.319, 0.250)
Sr (0.319, 0.681, 0.750)
Ru (0.066, 0.934, 0.250)
Ru (0.934, 0.066, 0.750)

* space group: Cmcm, No. 63
* calculated formation energy: 496 meV/atom

---

A plane-wave DFT calculation with PBE-GGA was carried out for crystalline Sr3Ru at its relaxed geometry.

Cell lengths 3.988, 3.988, 11.270 Å; angles 90.00, 90.00, 120.00 degrees
Fractional positions:
Ru (0.000, 0.000, 0.000)
Sr (0.000, 0.000, 0.500)
Sr (0.667, 0.333, 0.174)
Sr (0.667, 0.333, 0.826)

* space group: P-6m2, No. 187
* calculated formation energy: 476 meV/atom